An optimized crystal structure of InMoPCl2, computed with PBE.

Output
total magnetization = 3.80 μB per cell
mass density = 3.7 g/cm³
SG = P4/mmm, No. 123
distance to the lowest polymorph of the same formula = 0.850 eV/atom
formation energy without anion corrections = 3.58 eV per formula unit

Cell: 5.0399 5.0399 5.5640 Å, 90.00 90.00 90.00°
Fractional coordinates of all 5 atoms:
1 In 0.0000 0.0000 0.0000
2 Mo 0.5000 0.5000 0.5000
3 P 0.0000 0.0000 0.5000
4 Cl 0.0000 0.5000 0.0000
5 Cl 0.5000 0.0000 0.0000

An optimized crystal structure of CaPAu, computed with PBE.

Output
total magnetization = 0.00 μB per cell
mass density = 6.4 g/cm³
E_tot = -4.323 eV per atom
SG = Pnma, No. 62

Cell: 5.8039 4.4639 10.7346 Å, 90.00 90.00 90.00°
Fractional coordinates of all 12 atoms:
1 Ca 0.2350 0.2500 0.1132
2 Ca 0.2650 0.7500 0.6132
3 Ca 0.7350 0.2500 0.3868
4 Ca 0.7650 0.7500 0.8868
5 P 0.2335 0.2500 0.3990
6 P 0.2665 0.7500 0.8990
7 P 0.7335 0.2500 0.1010
8 P 0.7665 0.7500 0.6010
9 Au 0.2010 0.2500 0.8288
10 Au 0.2990 0.7500 0.3288
11 Au 0.7010 0.2500 0.6712
12 Au 0.7990 0.7500 0.1712

An optimized crystal structure of HgPbBr2, computed with PBE.

Output
total magnetization = 0.00 μB per cell
mass density = 6.2 g/cm³
SG = Pm, No. 6
distance to the lowest polymorph of the same formula = 0.076 eV/atom
formation energy without anion corrections = -2.31 eV per formula unit

Cell: 5.7860 4.4690 6.3697 Å, 90.00 113.68 90.00°
Fractional coordinates of all 4 atoms:
1 Hg 0.0000 0.0000 0.0000
2 Pb 0.5730 0.5000 0.7566
3 Br 0.2144 0.0000 0.5616
4 Br 0.4740 0.5000 0.1547

An optimized crystal structure of HgI, computed with PBE.

Output
total magnetization = 0.00 μB per cell
mass density = 6.3 g/cm³
SG = P2_1, No. 4
distance to the lowest polymorph of the same formula = 0.021 eV/atom
formation energy without anion corrections = -0.44 eV per formula unit

Cell: 6.8198 7.6226 7.2849 Å, 90.00 114.30 90.00°
Fractional coordinates of all 8 atoms:
1 Hg 0.0718 0.0000 0.2738
2 Hg 0.2847 0.6924 0.8183
3 Hg 0.7153 0.1924 0.1817
4 Hg 0.9282 0.5000 0.7262
5 I 0.2788 0.0743 0.9209
6 I 0.3843 0.7413 0.4485
7 I 0.6157 0.2413 0.5515
8 I 0.7212 0.5743 0.0791

An optimized crystal structure of DyEr2Ga2Cu2, computed with PBE.

Output
total magnetization = 0.00 μB per cell
mass density = 8.5 g/cm³
E_tot = -4.395 eV per atom
SG = R-3m, No. 166

Cell: 9.4073 9.4073 9.4073 Å, 26.80 26.80 26.80°
Fractional coordinates of all 7 atoms:
1 Dy 0.0000 0.0000 0.0000
2 Er 0.1241 0.1241 0.1241
3 Er 0.8759 0.8759 0.8759
4 Ga 0.2628 0.2628 0.2628
5 Ga 0.7372 0.7372 0.7372
6 Cu 0.3990 0.3990 0.3990
7 Cu 0.6010 0.6010 0.6010

An optimized crystal structure of Hf3ZrAs, computed with PBE.

Output
total magnetization = 0.00 μB per cell
mass density = 8.8 g/cm³
SG = Pm-3m, No. 221
distance to the lowest polymorph of the same formula = 1.162 eV/atom

Cell: 5.1022 5.1022 5.1022 Å, 90.00 90.00 90.00°
Fractional coordinates of all 5 atoms:
1 Hf 0.0000 0.0000 0.5000
2 Hf 0.0000 0.5000 0.0000
3 Hf 0.5000 0.0000 0.0000
4 Zr 0.0000 0.0000 0.0000
5 As 0.5000 0.5000 0.5000

An optimized crystal structure of Zr6Ni2H, computed with PBE.

Output
total magnetization = 0.00 μB per cell
mass density = 6.7 g/cm³
E_tot = -7.603 eV per atom
SG = P2_1/c, No. 14

Cell: 5.7525 6.1904 10.8275 Å, 90.00 121.84 90.00°
Fractional coordinates of all 18 atoms:
1 Zr 0.0798 0.1984 0.4435
2 Zr 0.0798 0.3016 0.9435
3 Zr 0.3058 0.6900 0.4455
4 Zr 0.3058 0.8100 0.9455
5 Zr 0.4134 0.0382 0.2492
6 Zr 0.4134 0.4618 0.7492
7 Zr 0.5866 0.5382 0.2508
8 Zr 0.5866 0.9618 0.7508
9 Zr 0.6942 0.1900 0.0545
10 Zr 0.6942 0.3100 0.5545
11 Zr 0.9202 0.6984 0.0565
12 Zr 0.9202 0.8016 0.5565
13 Ni 0.1422 0.1136 0.7483
14 Ni 0.1422 0.3864 0.2483
15 Ni 0.8578 0.6136 0.7517
16 Ni 0.8578 0.8864 0.2517
17 H 0.5000 0.0000 0.5000
18 H 0.5000 0.5000 0.0000

An optimized crystal structure of ZnAs2N, computed with PBE.

Output
total magnetization = 0.00 μB per cell
mass density = 6.5 g/cm³
SG = Fm-3m, No. 225
distance to the lowest polymorph of the same formula = 0.630 eV/atom
formation energy without anion corrections = 4.69 eV per formula unit

Cell: 4.3699 4.3699 4.3699 Å, 60.00 60.00 60.00°
Fractional coordinates of all 4 atoms:
1 Zn 0.0000 0.0000 0.0000
2 As 0.2500 0.2500 0.2500
3 As 0.7500 0.7500 0.7500
4 N 0.5000 0.5000 0.5000